Here is crystalline Ga2Ag2Te at its relaxed geometry from the Alexandria database. Energies are from GGA-PBE.

a b c (Å): 7.472 7.472 3.956
angles (deg): 90.00 90.00 90.00
Fractional coordinates of all 10 atoms:
Ag 0.633 0.133 0.000
Ag 0.133 0.367 0.000
Te 0.000 0.000 0.000
Ag 0.867 0.633 0.000
Te 0.500 0.500 0.000
Ga 0.162 0.662 0.500
Ga 0.662 0.838 0.500
Ag 0.367 0.867 0.000
Ga 0.838 0.338 0.500
Ga 0.338 0.162 0.500

Results
**SG**: P4/mbm
**Energy**: -2.91 eV/atom
**E above lowest polymorph**: 26 meV per atom
**D(E_F)**: 2.9 states/eV/cell


Here is crystalline PuUNi4 at its relaxed geometry from the Alexandria database. Energies are from GGA-PBE.

a b c (Å): 4.998 4.998 4.998
angles (deg): 60.00 60.00 60.00
Last column: magnetic moment on the atom in μB.
Fractional coordinates of all 6 atoms:
Ni 0.626 0.626 0.123  0.05
Ni 0.626 0.626 0.626  0.05
Ni 0.123 0.626 0.626  0.05
U 0.000 0.000 0.000  1.84
Ni 0.626 0.123 0.626  0.05
Pu 0.250 0.250 0.250  5.04

Results
**SG**: F-43m
**Energy**: -8.40 eV/atom
**D(E_F)**: 7.0 states/eV/cell


Here is crystalline KMo2I at its relaxed geometry from the Alexandria database. Energies are from GGA-PBE.

a b c (Å): 4.762 4.762 10.733
angles (deg): 77.18 77.18 90.00
Fractional coordinates of all 8 atoms:
Mo 0.916 0.625 0.250
I 0.000 0.000 0.000
K 0.250 0.750 0.500
Mo 0.834 0.125 0.250
I 0.750 0.250 0.500
Mo 0.875 0.084 0.750
K 0.500 0.500 0.000
Mo 0.375 0.166 0.750

Results
**SG**: I-42d
**Energy**: -4.84 eV/atom
**E above lowest polymorph**: 0 meV per atom
**D(E_F)**: 9.2 states/eV/cell


Look up the D(E_F) of the first one.
2.9 states/eV/cell


Among the records above, which one has the lowest energy?
PuUNi4


What is the D(E_F) in the first record?
2.9 states/eV/cell